VASP calculation (meta-GGA SCAN) on a PBEsol-optimized structure of SrAl2Ge2.

Cell lengths 4.212, 4.212, 7.366 Å; angles 90.00, 90.00, 120.00 degrees
Element x y z (fractional)
Sr: 0.000 0.000 0.000
Al: 0.333 0.667 0.625
Al: 0.667 0.333 0.375
Ge: 0.333 0.667 0.270
Ge: 0.667 0.333 0.730

Values from the calculation:
**E_form**: -456 meV per atom
**Calculated density**: 4.2 Mg/m³
**M_tot**: 0.00 μB/cell
**Space group**: P-3m1 (164)
**N(E_F)**: 0.0643 states/eV/atom